(1)
LaEr2TmP4: optimized geometry, GGA-PBE.

Space group: P2/m
Calculated formation energy: -1573 meV per atom
Fermi-level density of states: 0.810 states/eV/cell

a b c (Å): 4.045 7.002 7.000
angles (deg): 70.58 90.00 90.00
Sites, in units of the cell vectors:
P1 0.000 0.761 0.739
P2 0.000 0.239 0.261
P3 0.500 0.754 0.256
P4 0.500 0.246 0.744
Er1 0.000 0.000 0.000
Er2 0.500 0.000 0.500
La1 0.500 0.500 0.000
Tm1 0.000 0.500 0.500

***

(2)
La2ErTmP4: optimized geometry, GGA-PBE.

Space group: P2/m
Calculated formation energy: -1572 meV per atom
Fermi-level density of states: 0.741 states/eV/cell

a b c (Å): 4.121 7.133 7.125
angles (deg): 109.48 90.00 90.00
Sites, in units of the cell vectors:
La1 0.500 0.000 0.500
La2 0.000 0.500 0.500
P1 0.000 0.744 0.233
P2 0.000 0.256 0.767
P3 0.500 0.245 0.233
P4 0.500 0.755 0.767
Tm1 0.500 0.500 0.000
Er1 0.000 0.000 0.000

***

(3)
LaErTm2P4: optimized geometry, GGA-PBE.

Space group: P2/m
Calculated formation energy: -1573 meV per atom
Fermi-level density of states: 0.841 states/eV/cell

a b c (Å): 4.040 6.991 6.993
angles (deg): 70.58 90.00 90.00
Sites, in units of the cell vectors:
P1 0.000 0.762 0.738
P2 0.000 0.238 0.262
P3 0.500 0.243 0.745
P4 0.500 0.757 0.255
Tm1 0.500 0.000 0.500
Tm2 0.000 0.000 0.000
Er1 0.000 0.500 0.500
La1 0.500 0.500 0.000

***

(4)
La2ErUP4: optimized geometry, GGA-PBE.

Space group: P2/m
Calculated formation energy: -1414 meV per atom
Fermi-level density of states: 7.507 states/eV/cell

a b c (Å): 4.086 7.072 7.149
angles (deg): 109.14 90.00 90.00
Sites, in units of the cell vectors:
Er1 0.500 0.500 0.000
P1 0.000 0.252 0.772
P2 0.500 0.761 0.773
P3 0.000 0.748 0.228
P4 0.500 0.239 0.227
La1 0.000 0.500 0.500
La2 0.500 0.000 0.500
U1 0.000 0.000 0.000

***

(5)
La3YEr2P6: optimized geometry, GGA-PBE.

Space group: C2/m
Calculated formation energy: -1580 meV per atom
Fermi-level density of states: 1.141 states/eV/cell

a b c (Å): 7.156 7.156 7.150
angles (deg): 99.60 99.60 120.00
Sites, in units of the cell vectors:
P1 0.257 0.257 0.765
P2 0.922 0.587 0.765
P3 0.078 0.413 0.235
P4 0.587 0.922 0.765
P5 0.743 0.743 0.235
P6 0.413 0.078 0.235
La1 0.166 0.834 0.500
La2 0.500 0.500 0.500
La3 0.834 0.166 0.500
Er1 0.667 0.333 0.000
Er2 0.333 0.667 0.000
Y1 0.000 0.000 0.000

***

(6)
La2ErZrP4: optimized geometry, GGA-PBE.

Space group: P2/m
Calculated formation energy: -1519 meV per atom
Fermi-level density of states: 1.436 states/eV/cell

a b c (Å): 4.032 6.990 7.051
angles (deg): 109.17 90.00 90.00
Sites, in units of the cell vectors:
P1 0.500 0.766 0.776
P2 0.000 0.750 0.227
P3 0.500 0.234 0.224
P4 0.000 0.250 0.773
La1 0.000 0.500 0.500
La2 0.500 0.000 0.500
Er1 0.500 0.500 0.000
Zr1 0.000 0.000 0.000

***

(7)
LaErPa: optimized geometry, GGA-PBE.

Space group: P3m1
Calculated formation energy: 141 meV per atom
Fermi-level density of states: 4.808 states/eV/cell

a b c (Å): 3.442 3.442 8.695
angles (deg): 90.00 90.00 120.00
Sites, in units of the cell vectors:
Pa1 0.000 0.000 0.004
La1 0.333 0.667 0.682
Er1 0.667 0.333 0.314

***

(8)
LaErPa: optimized geometry, GGA-PBE.

Space group: R-3m
Calculated formation energy: 396 meV per atom
Fermi-level density of states: 12.609 states/eV/cell

a b c (Å): 5.155 5.155 9.356
angles (deg): 74.01 74.01 60.00
Sites, in units of the cell vectors:
Er1 0.560 0.560 0.320
Er2 0.440 0.440 0.680
Pa1 0.837 0.837 0.489
Pa2 0.163 0.163 0.511
La1 0.710 0.710 0.869
La2 0.290 0.290 0.131

***

(9)
La2ErPa: optimized geometry, GGA-PBE.

Space group: P4/mmm
Calculated formation energy: 259 meV per atom
Fermi-level density of states: 7.715 states/eV/cell

a b c (Å): 4.956 5.015 5.015
angles (deg): 90.00 90.00 90.00
Sites, in units of the cell vectors:
La1 0.000 0.000 0.500
La2 0.000 0.500 0.000
Pa1 0.500 0.500 0.500
Er1 0.500 0.000 0.000

***

(10)
LaErPa: optimized geometry, GGA-PBE.

Space group: I4mm
Calculated formation energy: 153 meV per atom
Fermi-level density of states: 4.780 states/eV/cell

a b c (Å): 3.411 3.411 8.116
angles (deg): 102.13 102.13 90.00
Sites, in units of the cell vectors:
Pa1 0.665 0.665 0.330
La1 0.321 0.321 0.642
Er1 0.014 0.014 0.029

***

(11)
LaErPa4: optimized geometry, GGA-PBE.

Space group: F-43m
Calculated formation energy: 220 meV per atom
Fermi-level density of states: 15.368 states/eV/cell

a b c (Å): 6.164 6.164 6.164
angles (deg): 60.00 60.00 60.00
Sites, in units of the cell vectors:
Er1 0.000 0.000 0.000
La1 0.250 0.250 0.250
Pa1 0.123 0.626 0.626
Pa2 0.626 0.123 0.626
Pa3 0.626 0.626 0.626
Pa4 0.626 0.626 0.123

***

(12)
La2ErPa: optimized geometry, GGA-PBE.

Space group: R-3m
Calculated formation energy: 298 meV per atom
Fermi-level density of states: 5.888 states/eV/cell

a b c (Å): 3.370 3.370 12.693
angles (deg): 82.37 82.37 60.00
Sites, in units of the cell vectors:
La1 0.084 0.084 0.747
La2 0.916 0.916 0.253
Er1 0.500 0.500 0.500
Pa1 0.000 0.000 0.000

***

(13)
La2ErPa: optimized geometry, GGA-PBE.

Space group: P4/mmm
Calculated formation energy: 155 meV per atom
Fermi-level density of states: 6.873 states/eV/cell

a b c (Å): 3.463 3.463 10.395
angles (deg): 90.00 90.00 90.00
Sites, in units of the cell vectors:
La1 0.000 0.000 0.769
La2 0.000 0.000 0.231
Pa1 0.500 0.500 0.000
Er1 0.500 0.500 0.500

***

(14)
La2ErPa2Ru5: optimized geometry, GGA-PBE.

Space group: P4/mbm
Calculated formation energy: -282 meV per atom
Fermi-level density of states: 19.172 states/eV/cell

a b c (Å): 3.438 11.213 11.213
angles (deg): 90.00 90.00 90.00
Sites, in units of the cell vectors:
Er1 0.000 0.000 0.000
Er2 0.000 0.500 0.500
Pa1 0.000 0.647 0.853
Pa2 0.000 0.147 0.647
Pa3 0.000 0.853 0.353
Pa4 0.000 0.353 0.147
Ru1 0.500 0.213 0.046
Ru2 0.500 0.287 0.546
Ru3 0.500 0.787 0.954
Ru4 0.500 0.000 0.500
Ru5 0.500 0.546 0.713
Ru6 0.500 0.500 0.000
Ru7 0.500 0.046 0.787
Ru8 0.500 0.454 0.287
Ru9 0.500 0.954 0.213
Ru10 0.500 0.713 0.454
La1 0.000 0.334 0.834
La2 0.000 0.166 0.334
La3 0.000 0.834 0.666
La4 0.000 0.666 0.166

***

(15)
LaEr2Pb: optimized geometry, GGA-PBE.

Space group: P4/mmm
Calculated formation energy: -281 meV per atom
Fermi-level density of states: 6.596 states/eV/cell

a b c (Å): 4.827 4.961 4.961
angles (deg): 90.00 90.00 90.00
Sites, in units of the cell vectors:
Pb1 0.500 0.000 0.000
Er1 0.000 0.000 0.500
Er2 0.000 0.500 0.000
La1 0.500 0.500 0.500

***

(16)
LaEr3Pb2: optimized geometry, GGA-PBE.

Space group: P-4m2
Calculated formation energy: -369 meV per atom
Fermi-level density of states: 5.620 states/eV/cell

a b c (Å): 4.584 4.584 8.648
angles (deg): 90.00 90.00 90.00
Sites, in units of the cell vectors:
Er1 0.000 0.500 0.656
Er2 0.000 0.000 0.000
Er3 0.500 0.000 0.344
La1 0.500 0.500 0.000
Pb1 0.500 0.000 0.708
Pb2 0.000 0.500 0.292

***

(17)
La4ErPb2: optimized geometry, GGA-PBE.

Space group: C2/c
Calculated formation energy: -108 meV per atom
Fermi-level density of states: 16.653 states/eV/cell

a b c (Å): 9.100 9.100 9.103
angles (deg): 134.80 101.43 95.56
Sites, in units of the cell vectors:
La1 0.314 0.049 0.267
La2 0.782 0.048 0.733
La3 0.889 0.642 0.754
La4 0.361 0.108 0.746
La5 0.889 0.135 0.246
La6 0.468 0.702 0.767
La7 0.936 0.701 0.233
La8 0.362 0.615 0.254
Pb1 0.625 0.375 0.250
Pb2 0.125 0.375 0.750
Pb3 0.625 0.375 0.750
Pb4 0.625 0.875 0.250
Er1 0.100 0.600 0.500
Er2 0.150 0.150 0.000

***

(18)
La3ErPb2: optimized geometry, GGA-PBE.

Space group: P-4m2
Calculated formation energy: -450 meV per atom
Fermi-level density of states: 8.595 states/eV/cell

a b c (Å): 4.766 4.766 8.935
angles (deg): 90.00 90.00 90.00
Sites, in units of the cell vectors:
Pb1 0.000 0.500 0.277
Pb2 0.500 0.000 0.723
La1 0.000 0.500 0.653
La2 0.000 0.000 0.000
La3 0.500 0.000 0.347
Er1 0.500 0.500 0.000

***

(19)
La3Er2Pb4: optimized geometry, GGA-PBE.

Space group: C2/m
Calculated formation energy: -471 meV per atom
Fermi-level density of states: 7.705 states/eV/cell

a b c (Å): 4.736 7.343 10.166
angles (deg): 115.42 90.00 108.82
Sites, in units of the cell vectors:
Pb1 0.069 0.139 0.407
Pb2 0.699 0.398 0.062
Pb3 0.301 0.602 0.938
Pb4 0.931 0.861 0.593
La1 0.000 0.000 0.000
La2 0.625 0.250 0.698
La3 0.375 0.750 0.302
Er1 0.318 0.636 0.648
Er2 0.682 0.364 0.352

***

(20)
LaEr2Pb: optimized geometry, GGA-PBE.

Space group: R-3m
Calculated formation energy: 45 meV per atom
Fermi-level density of states: 6.351 states/eV/cell

a b c (Å): 3.485 3.485 12.194
angles (deg): 81.78 81.78 60.00
Sites, in units of the cell vectors:
Pb1 0.500 0.500 0.500
La1 0.000 0.000 0.000
Er1 0.906 0.906 0.282
Er2 0.094 0.094 0.718